Record 1
# TmCr8C6 | Alexandria | PBE | relaxed
# D(E_F)	13.33	states/eV/f.u.
# formation energy	0.1030	eV per atom
data_TmCr8C6
_symmetry_space_group_name_H-M 'P 63 c m'
_symmetry_Int_Tables_number 185
_symmetry_space_group_name_Hall 'P 6c -2'
_cell_length_a 5.9681
_cell_length_b 5.9681
_cell_length_c 10.7194
_cell_angle_alpha 90.00
_cell_angle_beta 90.00
_cell_angle_gamma 120.00
loop_
_atom_site_label
_atom_site_fract_x
_atom_site_fract_y
_atom_site_fract_z
Tm1 0.0000 0.0000 0.0000
Cr1 0.0000 0.3061 0.2691
Cr2 0.0000 0.4348 0.6286
Cr3 0.3333 0.6667 0.4253
C1 0.0000 0.0000 0.2288
C2 0.0000 0.3794 0.4491
C3 0.3333 0.6667 0.2362


Record 2
# Tm2CrC | Alexandria | PBE | relaxed
# D(E_F)	3.30	states/eV/f.u.
# formation energy	0.3054	eV per atom
data_Tm2CrC
_symmetry_space_group_name_H-M 'R -3 m'
_symmetry_Int_Tables_number 166
_symmetry_space_group_name_Hall '-R 3 2"'
_cell_length_a 3.4347
_cell_length_b 3.4347
_cell_length_c 25.9490
_cell_angle_alpha 90.00
_cell_angle_beta 90.00
_cell_angle_gamma 120.00
loop_
_atom_site_label
_atom_site_fract_x
_atom_site_fract_y
_atom_site_fract_z
Tm1 0.0000 0.0000 0.1153
Cr1 0.0000 0.0000 0.0000
C1 0.0000 0.0000 0.5000